1.
A geometry-optimized TmH8PdRh2 structure. Source: Alexandria, functional PBE-GGA.

Cell: 4.792 4.792 5.813 Å, 65.66 65.66 60.00°
Atoms (fractional coordinates):
H 0.906 0.619 0.154
H 0.679 0.094 0.846
H 0.381 0.679 0.846
Pd 0.000 0.000 0.000
Rh 0.288 0.288 0.135
H 0.820 0.820 0.541
H 0.180 0.180 0.459
Tm 0.500 0.500 0.500
H 0.321 0.906 0.154
Rh 0.712 0.712 0.865
H 0.094 0.381 0.846
H 0.619 0.321 0.154

space group: R-3

***

2.
A geometry-optimized TmH8PdRh4 structure. Source: Alexandria, functional PBE-GGA.

Cell: 5.630 5.630 5.623 Å, 59.96 59.96 60.00°
Atoms (fractional coordinates):
H 0.709 0.265 0.317
Rh 0.002 0.506 0.490
Rh 0.506 0.002 0.490
H 0.224 0.224 0.703
H 0.224 0.849 0.703
H 0.709 0.709 0.317
Pd 0.998 0.998 0.007
Rh 0.636 0.636 0.092
Tm 0.384 0.384 0.849
H 0.265 0.709 0.317
H 0.849 0.224 0.703
H 0.227 0.227 0.320
H 0.766 0.766 0.702
Rh 0.002 0.002 0.490

space group: R3m

***

3.
A geometry-optimized TmHPd2Rh structure. Source: Alexandria, functional PBE-GGA.

Cell: 4.119 4.096 4.096 Å, 90.00 90.00 90.00°
Atoms (fractional coordinates):
Rh 0.500 0.000 0.000
H 0.000 0.000 0.000
Pd 0.000 0.000 0.500
Pd 0.000 0.500 0.000
Tm 0.500 0.500 0.500

space group: P4/mmm

***

4.
A geometry-optimized UH8PdRh2 structure. Source: Alexandria, functional PBE-GGA.

Cell: 4.785 4.785 5.940 Å, 66.25 66.25 60.00°
Atoms (fractional coordinates):
Rh 0.713 0.713 0.860
H 0.905 0.625 0.147
Rh 0.287 0.287 0.140
H 0.180 0.180 0.459
U 0.500 0.500 0.500
H 0.820 0.820 0.541
H 0.095 0.375 0.853
H 0.375 0.677 0.853
Pd 0.000 0.000 0.000
H 0.323 0.905 0.147
H 0.625 0.323 0.147
H 0.677 0.095 0.853

space group: R-3

***

5.
A geometry-optimized UH8Pd2Rh structure. Source: Alexandria, functional PBE-GGA.

Cell: 4.948 4.948 5.824 Å, 90.00 90.00 120.00°
Atoms (fractional coordinates):
Rh 0.000 0.000 0.000
H 0.675 0.838 0.833
H 0.838 0.162 0.167
Pd 0.667 0.333 0.362
Pd 0.333 0.667 0.638
U 0.000 0.000 0.500
H 0.333 0.667 0.359
H 0.325 0.162 0.167
H 0.667 0.333 0.641
H 0.838 0.675 0.167
H 0.162 0.325 0.833
H 0.162 0.838 0.833

space group: P-3m1

***

6.
A geometry-optimized VHPdRh2 structure. Source: Alexandria, functional PBE-GGA.

Cell: 3.887 3.887 3.900 Å, 90.00 90.00 90.00°
Atoms (fractional coordinates):
Pd 0.500 0.500 0.500
V 0.000 0.000 0.500
Rh 0.500 0.000 0.000
Rh 0.000 0.500 0.000
H 0.000 0.000 0.000

space group: P4/mmm
relative energy among the computed polymorphs: 0.4 kJ/mol of atoms

***

7.
A geometry-optimized VHPd2Rh structure. Source: Alexandria, functional PBE-GGA.

Cell: 3.856 4.090 3.856 Å, 90.00 90.00 90.00°
Atoms (fractional coordinates):
Rh 0.500 0.500 0.500
Pd 0.000 0.000 0.500
Pd 0.500 0.000 0.000
V 0.000 0.500 0.000
H 0.000 0.000 0.000

space group: P4/mmm
relative energy among the computed polymorphs: 3.0 kJ/mol of atoms

***

8.
A geometry-optimized VHPd2Rh structure. Source: Alexandria, functional PBE-GGA.

Cell: 3.908 3.908 4.003 Å, 90.00 90.00 90.00°
Atoms (fractional coordinates):
H 0.000 0.000 0.000
V 0.500 0.500 0.500
Rh 0.000 0.000 0.500
Pd 0.500 0.000 0.000
Pd 0.000 0.500 0.000

space group: P4/mmm
relative energy among the computed polymorphs: 0.0 kJ/mol of atoms

***

9.
A geometry-optimized VHPd2Rh structure. Source: Alexandria, functional PBE-GGA.

Cell: 4.643 4.414 4.643 Å, 90.00 90.00 90.00°
Atoms (fractional coordinates):
Pd 0.000 0.000 0.500
Rh 0.000 0.500 0.000
Pd 0.500 0.000 0.000
V 0.000 0.000 0.000
H 0.500 0.500 0.500

space group: P4/mmm
relative energy among the computed polymorphs: 133.7 kJ/mol of atoms

***

10.
A geometry-optimized VHPdRh2 structure. Source: Alexandria, functional PBE-GGA.

Cell: 3.931 3.931 3.852 Å, 90.00 90.00 90.00°
Atoms (fractional coordinates):
Rh 0.500 0.000 0.000
H 0.000 0.000 0.000
V 0.500 0.500 0.500
Pd 0.000 0.000 0.500
Rh 0.000 0.500 0.000

space group: P4/mmm
relative energy among the computed polymorphs: 0.0 kJ/mol of atoms

***

11.
A geometry-optimized Y2H6PdRh2 structure. Source: Alexandria, functional PBE-GGA.

Cell: 5.056 5.056 6.008 Å, 65.12 65.12 60.00°
Atoms (fractional coordinates):
Y 0.227 0.227 0.318
Pd 0.000 0.000 0.000
Y 0.773 0.773 0.682
Rh 0.400 0.400 0.800
H 0.195 0.762 0.281
H 0.238 0.805 0.719
H 0.762 0.195 0.281
Rh 0.600 0.600 0.200
H 0.805 0.238 0.719
H 0.238 0.238 0.719
H 0.762 0.762 0.281

space group: R-3m

***

12.
A geometry-optimized YHPd2Rh structure. Source: Alexandria, functional PBE-GGA.

Cell: 4.134 4.134 4.150 Å, 90.00 90.00 90.00°
Atoms (fractional coordinates):
Pd 0.500 0.000 0.000
H 0.000 0.000 0.000
Y 0.500 0.500 0.500
Pd 0.000 0.500 0.000
Rh 0.000 0.000 0.500

space group: P4/mmm
relative energy among the computed polymorphs: 0.0 kJ/mol of atoms

***

DFT total energy across the listed records, respectively: -4.459 -4.907 -5.798 -4.892 -4.640 -6.642 -6.157 -6.189 -4.803 -6.646 -5.217 -6.137 eV/atom.
V across the listed records, respectively: 8.47 9.00 13.82 8.69 10.29 11.78 12.16 12.23 19.04 11.91 10.57 14.19 Å³ per atom.